1.
Computed, not measured: a relaxed PmLuCdHg crystal at the PBE-GGA level of DFT.

Cell: 5.2971 5.2971 5.2971 Å, 60.00 60.00 60.00°
Closest atoms and distances in Å follow each position.
Fractional positions:
Lu (0.0000, 0.0000, 0.0000)  4 Cd 3.24, 4 Hg 3.24
Hg (0.2500, 0.2500, 0.2500)  4 Lu 3.24, 4 Pm 3.24
Cd (0.7500, 0.7500, 0.7500)  4 Pm 3.24, 4 Lu 3.24
Pm (0.5000, 0.5000, 0.5000)  4 Hg 3.24, 4 Cd 3.24

## Properties
uncorrected energy: -12.00 eV per cell

2.
Computed, not measured: a relaxed Nd3P2PdRh9 crystal at the PBE-GGA level of DFT.

Cell: 6.0122 6.0122 9.1800 Å, 90.00 90.00 120.00°
Closest atoms and distances in Å follow each position.
Fractional positions:
Rh (0.8476, 0.6952, 0.7222)  1 P 2.17
Rh (0.1524, 0.3048, 0.2778)  1 P 2.17
Rh (0.0000, 0.5000, 0.0000)  2 P 2.27
Rh (0.8476, 0.1524, 0.7222)  1 P 2.17
Rh (0.5000, 0.5000, 0.0000)  2 P 2.27
Rh (0.1524, 0.8476, 0.2778)  1 P 2.17
Rh (0.6952, 0.8476, 0.2778)  1 P 2.17
Rh (0.5000, 0.0000, 0.0000)  2 P 2.27
Rh (0.3048, 0.1524, 0.7222)  1 P 2.17
Nd (0.6667, 0.3333, 0.3571)  6 Rh 3.10
Nd (0.0000, 0.0000, 0.0000)  12 Rh 3.00-3.01
Nd (0.3333, 0.6667, 0.6429)  6 Rh 3.10
Pd (0.0000, 0.0000, 0.5000)  6 Rh 2.58
P (0.6667, 0.3333, 0.8403)  6 Rh 2.17-2.27
P (0.3333, 0.6667, 0.1597)  6 Rh 2.17-2.27

## Properties
uncorrected energy: -103.98 eV per cell

3.
Computed, not measured: a relaxed CdTe2Cl2 crystal at the PBE-GGA level of DFT.

Cell: 5.9228 5.9228 6.3664 Å, 62.28 62.28 90.00°
Closest atoms and distances in Å follow each position.
Fractional positions:
Cl (0.7500, 0.2500, 0.5000)  4 Te 3.17
Cl (0.2500, 0.7500, 0.5000)  4 Te 3.17
Te (0.6317, 0.6317, 0.7366)  1 Te 2.53
Te (0.3683, 0.3683, 0.2634)  1 Te 2.53
Cd (0.0000, 0.0000, 0.0000)  2 Te 3.53, 8 Cl 3.81

## Properties
excess energy over the best structure of this formula in the dataset: 186 meV/atom
formation energy (no corrections): 0.06 eV/atom

| no. | V (Å³ per cell) |
| --- | --- |
| 1 | 105 |
| 2 | 287 |
| 3 | 168 |